La2SmZrN4 | PBE | optimized geometry

Summary:
Energy, eV/atom: -8.50
E_form (uncorrected), eV per atom: -1.446

Lattice parameters (Å, degrees): 3.537 6.145 6.242 108.94 90.00 90.00
Atoms (fractional coordinates):
Sm (0.500, 0.500, 0.000)
Zr (0.000, 0.000, 0.000)
N (0.500, 0.226, 0.221)
N (0.500, 0.774, 0.779)
La (0.000, 0.500, 0.500)
N (0.000, 0.762, 0.226)
La (0.500, 0.000, 0.500)
N (0.000, 0.238, 0.774)